5
Lattice="5.177 0.000 0.000 0.000 5.177 0.000 0.000 0.000 5.177" Properties=species:S:1:pos:R:3 comment="PbI3N (PBE, optimized geometry)" polymorph_energy_kj_per_mol_fu=0 magnetic_moment_mub_per_atom=0.0000 e_form_raw_ev_per_atom=0.639 space_group="Pm-3m, No. 221" pbc="T T T"
Pb 0.000 0.000 0.000
I 0.000 2.588 2.588
I 2.588 0.000 2.588
I 2.588 2.588 0.000
N 2.588 2.588 2.588